# SbSeI2Cl, optimized geometry, DFT GGA-PBE
data_SbSeI2Cl
_space_group_name_H-M_alt 'P 4/m m m'
_space_group_IT_number 123
_space_group_name_Hall '-P 4 2'
_cell_length_a 5.561
_cell_length_b 5.561
_cell_length_c 5.861
_cell_angle_alpha 90.00
_cell_angle_beta 90.00
_cell_angle_gamma 90.00
loop_
_atom_site_label
_atom_site_type_symbol
_atom_site_fract_x
_atom_site_fract_y
_atom_site_fract_z
_atom_site_occupancy
Sb1 Sb 0.000 0.000 0.000 1
Se1 Se 0.000 0.000 0.500 1
I1 I 0.000 0.500 0.500 1
Cl1 Cl 0.500 0.500 0.000 1
# calculated volume	36.25	A^3/atom
# distance to the lowest polymorph of the same formula	0.000	eV/atom
# E_form (uncorrected)	0.3849	eV per atom